Entry from the Alexandria database: a relaxed BaSm2Mo4O16 crystal (PBE+U).

Uncorrected energy ... -7.41 eV per atom

Cell lengths 6.9731, 6.9731, 19.9780 Å; angles 90.61, 90.61, 134.64 degrees
Fractional coordinates of all 46 atoms:
Ba1 0.0309 0.9691 0.7500
Ba2 0.9691 0.0309 0.2500
Sm1 0.1460 0.8496 0.5322
Sm2 0.1504 0.8540 0.9678
Sm3 0.8496 0.1460 0.0322
Sm4 0.8540 0.1504 0.4678
Mo1 0.2579 0.7389 0.1477
Mo2 0.2611 0.7422 0.3523
Mo3 0.4305 0.5492 0.9099
Mo4 0.4508 0.5695 0.5901
Mo5 0.5492 0.4305 0.4099
Mo6 0.5695 0.4508 0.0901
Mo7 0.7389 0.2579 0.6477
Mo8 0.7422 0.2611 0.8523
O1 0.0186 0.7416 0.1742
O2 0.0746 0.5933 0.4326
O3 0.0862 0.3890 0.1333
O4 0.1037 0.4858 0.2907
O5 0.1744 0.5140 0.9552
O6 0.2260 0.2611 0.5361
O7 0.2263 0.3173 0.3990
O8 0.2584 0.9814 0.3258
O9 0.2611 0.2260 0.0361
O10 0.3002 0.4683 0.6680
O11 0.3173 0.2263 0.8990
O12 0.3890 0.0862 0.6333
O13 0.4067 0.9254 0.0674
O14 0.4683 0.3002 0.1680
O15 0.4858 0.1037 0.7907
O16 0.4860 0.8256 0.5448
O17 0.5140 0.1744 0.4552
O18 0.5142 0.8963 0.2093
O19 0.5317 0.6998 0.8320
O20 0.5933 0.0746 0.9326
O21 0.6110 0.9138 0.3667
O22 0.6827 0.7737 0.1010
O23 0.6998 0.5317 0.3320
O24 0.7389 0.7740 0.9639
O25 0.7416 0.0186 0.6742
O26 0.7737 0.6827 0.6010
O27 0.7740 0.7389 0.4639
O28 0.8256 0.4860 0.0448
O29 0.8963 0.5142 0.7093
O30 0.9138 0.6110 0.8667
O31 0.9254 0.4067 0.5674
O32 0.9814 0.2584 0.8258